(1)
# PmYBr2, optimized geometry, DFT PBE
data_PmYBr2
_space_group_name_H-M_alt 'R -3 m'
_space_group_IT_number 166
_space_group_name_Hall '-R 3 2"'
_cell_length_a 3.7252
_cell_length_b 3.7252
_cell_length_c 30.2243
_cell_angle_alpha 90.00
_cell_angle_beta 90.00
_cell_angle_gamma 120.00
loop_
_atom_site_label
_atom_site_fract_x
_atom_site_fract_y
_atom_site_fract_z
_atom_site_occupancy
Pm1 0.0000 0.0000 0.0000 1
Y1 0.0000 0.0000 0.5000 1
Br1 0.0000 0.0000 0.4048 1
# Magnetization in μB per cell: 0.000

=====

(2)
# PmYBr2, optimized geometry, DFT PBE
data_PmYBr2
_space_group_name_H-M_alt 'P m n 21'
_space_group_IT_number 31
_cell_length_a 3.730
_cell_length_b 9.390
_cell_length_c 7.074
_cell_angle_alpha 90.00
_cell_angle_beta 90.00
_cell_angle_gamma 90.00
loop_
_space_group_symop_operation_xyz
'x,y,z'
'-x+1/2,-y,z+1/2'
'-x,y,z'
'x+1/2,-y,z+1/2'
loop_
_atom_site_label
_atom_site_fract_x
_atom_site_fract_y
_atom_site_fract_z
_atom_site_occupancy
Pm1 0.000 0.077 0.000 1
Y1 0.000 0.705 0.814 1
Br1 0.000 0.421 0.038 1
Br2 0.000 0.801 0.195 1
# Magnetization in μB per cell: 0.001

=====

Which structure wins on stability? (2) wins.

=====

(1)
# Pm2YBr, optimized geometry, DFT PBE
data_Pm2YBr
_space_group_name_H-M_alt 'R -3 m'
_space_group_IT_number 166
_space_group_name_Hall '-R 3 2"'
_cell_length_a 3.7051
_cell_length_b 3.7051
_cell_length_c 31.5882
_cell_angle_alpha 90.00
_cell_angle_beta 90.00
_cell_angle_gamma 120.00
loop_
_atom_site_label
_atom_site_fract_x
_atom_site_fract_y
_atom_site_fract_z
_atom_site_occupancy
Pm1 0.0000 0.0000 0.2423 1
Y1 0.0000 0.0000 0.0000 1
Br1 0.0000 0.0000 0.5000 1
# Magnetization in μB per cell: 0.001

=====

(2)
# Pm2YBr, optimized geometry, DFT PBE
data_Pm2YBr
_space_group_name_H-M_alt 'P 4/m m m'
_space_group_IT_number 123
_space_group_name_Hall '-P 4 2'
_cell_length_a 3.579
_cell_length_b 3.579
_cell_length_c 9.691
_cell_angle_alpha 90.00
_cell_angle_beta 90.00
_cell_angle_gamma 90.00
loop_
_atom_site_label
_atom_site_fract_x
_atom_site_fract_y
_atom_site_fract_z
_atom_site_occupancy
Pm1 0.000 0.000 0.234 1
Y1 0.500 0.500 0.500 1
Br1 0.500 0.500 0.000 1
# Magnetization in μB per cell: 0.000

=====

Which structure wins on stability? (1) wins.

=====

(1)
# Pr2Br5, optimized geometry, DFT PBE
data_Pr2Br5
_space_group_name_H-M_alt 'C 1 2/c 1'
_space_group_IT_number 15
_cell_length_a 15.801
_cell_length_b 6.744
_cell_length_c 8.162
_cell_angle_alpha 90.00
_cell_angle_beta 97.22
_cell_angle_gamma 90.00
loop_
_space_group_symop_operation_xyz
'x,y,z'
'-x,-y,-z'
'-x,y,-z+1/2'
'x,-y,z+1/2'
'x+1/2,y+1/2,z'
'-x+1/2,-y+1/2,-z'
'-x+1/2,y+1/2,-z+1/2'
'x+1/2,-y+1/2,z+1/2'
loop_
_atom_site_label
_atom_site_fract_x
_atom_site_fract_y
_atom_site_fract_z
_atom_site_occupancy
Pr1 0.103 0.213 0.084 1
Br1 0.000 0.093 0.750 1
Br2 0.086 0.372 0.425 1
Br3 0.220 0.074 0.834 1
# Magnetization in μB per cell: 3.098

=====

(2)
# Pr2Br5, optimized geometry, DFT PBE
data_Pr2Br5
_space_group_name_H-M_alt 'P 1 21/m 1'
_space_group_IT_number 11
_cell_length_a 8.502
_cell_length_b 4.171
_cell_length_c 13.787
_cell_angle_alpha 90.00
_cell_angle_beta 92.98
_cell_angle_gamma 90.00
loop_
_space_group_symop_operation_xyz
'x,y,z'
'-x,-y,-z'
'-x,y+1/2,-z'
'x,-y+1/2,z'
loop_
_atom_site_label
_atom_site_fract_x
_atom_site_fract_y
_atom_site_fract_z
_atom_site_occupancy
Pr1 0.081 0.250 0.157 1
Pr2 0.403 0.750 0.347 1
Br1 0.140 0.250 0.782 1
Br2 0.154 0.250 0.377 1
Br3 0.183 0.750 0.014 1
Br4 0.364 0.750 0.571 1
Br5 0.440 0.250 0.190 1
# Magnetization in μB per cell: 2.012

=====

Which structure wins on stability? (2) wins.

=====

(1)
# Pr2PuBr, optimized geometry, DFT PBE
data_Pr2PuBr
_space_group_name_H-M_alt 'P 4/m m m'
_space_group_IT_number 123
_space_group_name_Hall '-P 4 2'
_cell_length_a 3.549
_cell_length_b 3.549
_cell_length_c 9.584
_cell_angle_alpha 90.00
_cell_angle_beta 90.00
_cell_angle_gamma 90.00
loop_
_atom_site_label
_atom_site_fract_x
_atom_site_fract_y
_atom_site_fract_z
_atom_site_occupancy
Pr1 0.000 0.000 0.242 1
Pu1 0.500 0.500 0.500 1
Br1 0.500 0.500 0.000 1
# Magnetization in μB per cell: 6.048

=====

(2)
# Pr2PuBr, optimized geometry, DFT PBE
data_Pr2PuBr
_space_group_name_H-M_alt 'R -3 m'
_space_group_IT_number 166
_space_group_name_Hall '-R 3 2"'
_cell_length_a 3.5482
_cell_length_b 3.5482
_cell_length_c 34.7083
_cell_angle_alpha 90.00
_cell_angle_beta 90.00
_cell_angle_gamma 120.00
loop_
_atom_site_label
_atom_site_fract_x
_atom_site_fract_y
_atom_site_fract_z
_atom_site_occupancy
Pr1 0.0000 0.0000 0.0960 1
Pu1 0.0000 0.0000 0.0000 1
Br1 0.0000 0.0000 0.5000 1
# Magnetization in μB per cell: 18.569

=====

Which structure wins on stability? (1) wins.

=====

(1)
# Pr3RuBr, optimized geometry, DFT PBE
data_Pr3RuBr
_space_group_name_H-M_alt 'P 1 21/m 1'
_space_group_IT_number 11
_cell_length_a 7.612
_cell_length_b 4.110
_cell_length_c 9.785
_cell_angle_alpha 90.00
_cell_angle_beta 98.15
_cell_angle_gamma 90.00
loop_
_space_group_symop_operation_xyz
'x,y,z'
'-x,-y,-z'
'-x,y+1/2,-z'
'x,-y+1/2,z'
loop_
_atom_site_label
_atom_site_fract_x
_atom_site_fract_y
_atom_site_fract_z
_atom_site_occupancy
Pr1 0.020 0.250 0.150 1
Pr2 0.290 0.750 0.409 1
Pr3 0.478 0.750 0.841 1
Ru1 0.266 0.750 0.107 1
Br1 0.154 0.250 0.638 1
# Magnetization in μB per cell: 0.000

=====

(2)
# Pr3RuBr, optimized geometry, DFT PBE
data_Pr3RuBr
_space_group_name_H-M_alt 'P m m n'
_space_group_IT_number 59
_cell_length_a 3.905
_cell_length_b 9.756
_cell_length_c 8.416
_cell_angle_alpha 90.00
_cell_angle_beta 90.00
_cell_angle_gamma 90.00
loop_
_space_group_symop_operation_xyz
'x,y,z'
'-x,-y,-z'
'-x+1/2,-y+1/2,z'
'x+1/2,y+1/2,-z'
'x+1/2,-y,-z'
'-x+1/2,y,z'
'-x,y+1/2,-z'
'x,-y+1/2,z'
loop_
_atom_site_label
_atom_site_fract_x
_atom_site_fract_y
_atom_site_fract_z
_atom_site_occupancy
Pr1 0.250 0.075 0.159 1
Pr2 0.250 0.250 0.744 1
Ru1 0.250 0.750 0.025 1
Br1 0.250 0.750 0.567 1
# Magnetization in μB per cell: 0.000

=====

Which structure wins on stability? (1) wins.

=====

(1)
# Pr2RuBr, optimized geometry, DFT PBE
data_Pr2RuBr
_space_group_name_H-M_alt 'R 3 m'
_space_group_IT_number 160
_space_group_name_Hall 'R 3 -2"'
_cell_length_a 4.1019
_cell_length_b 4.1019
_cell_length_c 24.0057
_cell_angle_alpha 90.00
_cell_angle_beta 90.00
_cell_angle_gamma 120.00
loop_
_atom_site_label
_atom_site_fract_x
_atom_site_fract_y
_atom_site_fract_z
_atom_site_occupancy
Pr1 0.0000 0.0000 0.0000 1
Pr2 0.0000 0.0000 0.2021 1
Ru1 0.0000 0.0000 0.6012 1
Br1 0.0000 0.0000 0.4330 1
# Magnetization in μB per cell: 0.000

=====

(2)
# Pr2RuBr, optimized geometry, DFT PBE
data_Pr2RuBr
_space_group_name_H-M_alt 'P 4/m m m'
_space_group_IT_number 123
_space_group_name_Hall '-P 4 2'
_cell_length_a 3.503
_cell_length_b 3.503
_cell_length_c 8.365
_cell_angle_alpha 90.00
_cell_angle_beta 90.00
_cell_angle_gamma 90.00
loop_
_atom_site_label
_atom_site_fract_x
_atom_site_fract_y
_atom_site_fract_z
_atom_site_occupancy
Pr1 0.000 0.000 0.211 1
Ru1 0.500 0.500 0.000 1
Br1 0.500 0.500 0.500 1
# Magnetization in μB per cell: 0.000

=====

(3)
# Pr2RuBr, optimized geometry, DFT PBE
data_Pr2RuBr
_space_group_name_H-M_alt 'R -3 m'
_space_group_IT_number 166
_space_group_name_Hall '-R 3 2"'
_cell_length_a 4.1347
_cell_length_b 4.1347
_cell_length_c 23.6755
_cell_angle_alpha 90.00
_cell_angle_beta 90.00
_cell_angle_gamma 120.00
loop_
_atom_site_label
_atom_site_fract_x
_atom_site_fract_y
_atom_site_fract_z
_atom_site_occupancy
Pr1 0.0000 0.0000 0.2323 1
Ru1 0.0000 0.0000 0.5000 1
Br1 0.0000 0.0000 0.0000 1
# Magnetization in μB per cell: 0.000

=====

Which structure wins on stability? (3) wins.

=====

(1)
# Pr2SBr, optimized geometry, DFT PBE
data_Pr2SBr
_space_group_name_H-M_alt 'R -3 m'
_space_group_IT_number 166
_space_group_name_Hall '-R 3 2"'
_cell_length_a 4.0372
_cell_length_b 4.0372
_cell_length_c 23.0092
_cell_angle_alpha 90.00
_cell_angle_beta 90.00
_cell_angle_gamma 120.00
loop_
_atom_site_label
_atom_site_fract_x
_atom_site_fract_y
_atom_site_fract_z
_atom_site_occupancy
Pr1 0.0000 0.0000 0.2340 1
S1 0.0000 0.0000 0.5000 1
Br1 0.0000 0.0000 0.0000 1
# Magnetization in μB per cell: 0.000

=====

(2)
# Pr2SBr, optimized geometry, DFT PBE
data_Pr2SBr
_space_group_name_H-M_alt 'R 3 m'
_space_group_IT_number 160
_space_group_name_Hall 'R 3 -2"'
_cell_length_a 3.8500
_cell_length_b 3.8500
_cell_length_c 24.9536
_cell_angle_alpha 90.00
_cell_angle_beta 90.00
_cell_angle_gamma 120.00
loop_
_atom_site_label
_atom_site_fract_x
_atom_site_fract_y
_atom_site_fract_z
_atom_site_occupancy
Pr1 0.0000 0.0000 0.0000 1
Pr2 0.0000 0.0000 0.1504 1
S1 0.0000 0.0000 0.4090 1
Br1 0.0000 0.0000 0.5746 1
# Magnetization in μB per cell: 0.621

=====

Which structure wins on stability? (1) wins.

=====

(1)
# Pr2SbBr, optimized geometry, DFT PBE
data_Pr2SbBr
_space_group_name_H-M_alt 'R -3 m'
_space_group_IT_number 166
_space_group_name_Hall '-R 3 2"'
_cell_length_a 4.5590
_cell_length_b 4.5590
_cell_length_c 21.1717
_cell_angle_alpha 90.00
_cell_angle_beta 90.00
_cell_angle_gamma 120.00
loop_
_atom_site_label
_atom_site_fract_x
_atom_site_fract_y
_atom_site_fract_z
_atom_site_occupancy
Pr1 0.0000 0.0000 0.2450 1
Sb1 0.0000 0.0000 0.5000 1
Br1 0.0000 0.0000 0.0000 1
# Magnetization in μB per cell: 0.000

=====

(2)
# Pr2SbBr, optimized geometry, DFT PBE
data_Pr2SbBr
_space_group_name_H-M_alt 'R 3 m'
_space_group_IT_number 160
_space_group_name_Hall 'R 3 -2"'
_cell_length_a 4.3712
_cell_length_b 4.3712
_cell_length_c 23.4628
_cell_angle_alpha 90.00
_cell_angle_beta 90.00
_cell_angle_gamma 120.00
loop_
_atom_site_label
_atom_site_fract_x
_atom_site_fract_y
_atom_site_fract_z
_atom_site_occupancy
Pr1 0.0000 0.0000 0.0000 1
Pr2 0.0000 0.0000 0.1819 1
Sb1 0.0000 0.0000 0.5919 1
Br1 0.0000 0.0000 0.4230 1
# Magnetization in μB per cell: 0.000

=====

Which structure wins on stability? (1) wins.

=====

(1)
# Pr2SbBr, optimized geometry, DFT PBE
data_Pr2SbBr
_space_group_name_H-M_alt 'F m -3 m'
_space_group_IT_number 225
_space_group_name_Hall '-F 4 2 3'
_cell_length_a 7.706
_cell_length_b 7.706
_cell_length_c 7.706
_cell_angle_alpha 90.00
_cell_angle_beta 90.00
_cell_angle_gamma 90.00
loop_
_atom_site_label
_atom_site_fract_x
_atom_site_fract_y
_atom_site_fract_z
_atom_site_occupancy
Pr1 0.250 0.250 0.250 1
Sb1 0.000 0.000 0.000 1
Br1 0.000 0.000 0.500 1
# Magnetization in μB per cell: 0.021

=====

(2)
# Pr2SbBr, optimized geometry, DFT PBE
data_Pr2SbBr
_space_group_name_H-M_alt 'P 4/m m m'
_space_group_IT_number 123
_space_group_name_Hall '-P 4 2'
_cell_length_a 3.882
_cell_length_b 3.882
_cell_length_c 7.681
_cell_angle_alpha 90.00
_cell_angle_beta 90.00
_cell_angle_gamma 90.00
loop_
_atom_site_label
_atom_site_fract_x
_atom_site_fract_y
_atom_site_fract_z
_atom_site_occupancy
Pr1 0.000 0.000 0.233 1
Sb1 0.500 0.500 0.000 1
Br1 0.500 0.500 0.500 1
# Magnetization in μB per cell: 0.007

=====

Which structure wins on stability? (1) wins.

=====

(1)
# Pr2SeBr, optimized geometry, DFT PBE
data_Pr2SeBr
_space_group_name_H-M_alt 'R 3 m'
_space_group_IT_number 160
_space_group_name_Hall 'R 3 -2"'
_cell_length_a 4.0596
_cell_length_b 4.0596
_cell_length_c 24.1004
_cell_angle_alpha 90.00
_cell_angle_beta 90.00
_cell_angle_gamma 120.00
loop_
_atom_site_label
_atom_site_fract_x
_atom_site_fract_y
_atom_site_fract_z
_atom_site_occupancy
Pr1 0.0000 0.0000 0.0000 1
Pr2 0.0000 0.0000 0.1882 1
Se1 0.0000 0.0000 0.5930 1
Br1 0.0000 0.0000 0.4269 1
# Magnetization in μB per cell: 0.000

=====

(2)
# Pr2SeBr, optimized geometry, DFT PBE
data_Pr2SeBr
_space_group_name_H-M_alt 'R -3 m'
_space_group_IT_number 166
_space_group_name_Hall '-R 3 2"'
_cell_length_a 4.1555
_cell_length_b 4.1555
_cell_length_c 23.2134
_cell_angle_alpha 90.00
_cell_angle_beta 90.00
_cell_angle_gamma 120.00
loop_
_atom_site_label
_atom_site_fract_x
_atom_site_fract_y
_atom_site_fract_z
_atom_site_occupancy
Pr1 0.0000 0.0000 0.2370 1
Se1 0.0000 0.0000 0.5000 1
Br1 0.0000 0.0000 0.0000 1
# Magnetization in μB per cell: 0.000

=====

(3)
# Pr2SeBr, optimized geometry, DFT PBE
data_Pr2SeBr
_space_group_name_H-M_alt 'C 1 m 1'
_space_group_IT_number 8
_cell_length_a 6.980
_cell_length_b 4.029
_cell_length_c 9.732
_cell_angle_alpha 90.00
_cell_angle_beta 90.03
_cell_angle_gamma 90.00
loop_
_space_group_symop_operation_xyz
'x,y,z'
'x,-y,z'
'x+1/2,y+1/2,z'
'x+1/2,-y+1/2,z'
loop_
_atom_site_label
_atom_site_fract_x
_atom_site_fract_y
_atom_site_fract_z
_atom_site_occupancy
Pr1 0.000 0.000 0.000 1
Pr2 0.166 0.500 0.473 1
Se1 0.499 0.500 0.292 1
Br1 0.167 0.500 0.782 1
# Magnetization in μB per cell: 1.823

=====

Which structure wins on stability? (2) wins.

=====

(1)
# Pr2Se2Br, optimized geometry, DFT PBE
data_Pr2Se2Br
_space_group_name_H-M_alt 'C m c m'
_space_group_IT_number 63
_space_group_name_Hall '-C 2c 2'
_cell_length_a 16.245
_cell_length_b 4.970
_cell_length_c 7.349
_cell_angle_alpha 90.00
_cell_angle_beta 90.00
_cell_angle_gamma 90.00
loop_
_atom_site_label
_atom_site_fract_x
_atom_site_fract_y
_atom_site_fract_z
_atom_site_occupancy
Pr1 0.159 0.000 0.000 1
Se1 0.180 0.500 0.250 1
Br1 0.000 0.002 0.250 1
# Magnetization in μB per cell: 0.000

=====

(2)
# Pr2Se2Br, optimized geometry, DFT PBE
data_Pr2Se2Br
_space_group_name_H-M_alt 'C 1 2/m 1'
_space_group_IT_number 12
_cell_length_a 13.534
_cell_length_b 5.942
_cell_length_c 8.655
_cell_angle_alpha 90.00
_cell_angle_beta 109.15
_cell_angle_gamma 90.00
loop_
_space_group_symop_operation_xyz
'x,y,z'
'-x,-y,-z'
'-x,y,-z'
'x,-y,z'
'x+1/2,y+1/2,z'
'-x+1/2,-y+1/2,-z'
'-x+1/2,y+1/2,-z'
'x+1/2,-y+1/2,z'
loop_
_atom_site_label
_atom_site_fract_x
_atom_site_fract_y
_atom_site_fract_z
_atom_site_occupancy
Pr1 0.005 0.000 0.242 1
Pr2 0.163 0.500 0.075 1
Se1 0.004 0.500 0.248 1
Se2 0.168 0.000 0.084 1
Br1 0.161 0.000 0.590 1
# Magnetization in μB per cell: 0.000

=====

Which structure wins on stability? (2) wins.

=====

(1)
# Pr2SiBr, optimized geometry, DFT PBE
data_Pr2SiBr
_space_group_name_H-M_alt 'R -3 m'
_space_group_IT_number 166
_space_group_name_Hall '-R 3 2"'
_cell_length_a 4.3025
_cell_length_b 4.3025
_cell_length_c 22.2673
_cell_angle_alpha 90.00
_cell_angle_beta 90.00
_cell_angle_gamma 120.00
loop_
_atom_site_label
_atom_site_fract_x
_atom_site_fract_y
_atom_site_fract_z
_atom_site_occupancy
Pr1 0.0000 0.0000 0.2370 1
Si1 0.0000 0.0000 0.5000 1
Br1 0.0000 0.0000 0.0000 1
# Magnetization in μB per cell: 0.000

=====

(2)
# Pr2SiBr, optimized geometry, DFT PBE
data_Pr2SiBr
_space_group_name_H-M_alt 'R 3 m'
_space_group_IT_number 160
_space_group_name_Hall 'R 3 -2"'
_cell_length_a 4.2428
_cell_length_b 4.2428
_cell_length_c 23.1538
_cell_angle_alpha 90.00
_cell_angle_beta 90.00
_cell_angle_gamma 120.00
loop_
_atom_site_label
_atom_site_fract_x
_atom_site_fract_y
_atom_site_fract_z
_atom_site_occupancy
Pr1 0.0000 0.0000 0.0000 1
Pr2 0.0000 0.0000 0.1955 1
Si1 0.0000 0.0000 0.5971 1
Br1 0.0000 0.0000 0.7670 1
# Magnetization in μB per cell: 0.000

=====

Which structure wins on stability? (1) wins.